This record from Alexandria via LeMat-Bulk describes TbBe17Pd after structural relaxation. The functional is GGA-PBE.

Results
**DOS(E_F)**: 3.6 states/eV/f.u.
**Size of the total moment**: 0.0 μB/cell
**Energy relative to the elements**: -0.096 eV per atom
**Final energy**: -75.00 eV per cell
**ρ**: 3.85 Mg/m³

Geometry as POSCAR:
```
TbBe17Pd
1.0
5.650 -0.003 0.663
0.589 5.619 0.663
-0.004 -0.003 5.689
Be Tb Pd
17 1 1
Direct
0.869 0.340 0.340 Be
0.340 0.340 0.869 Be
0.653 0.653 0.161 Be
0.288 0.008 0.707 Be
0.340 0.869 0.340 Be
0.653 0.161 0.653 Be
0.707 0.008 0.288 Be
0.288 0.707 0.008 Be
0.990 0.990 0.510 Be
0.008 0.707 0.288 Be
0.161 0.653 0.653 Be
0.905 0.905 0.905 Be
0.100 0.100 0.100 Be
0.510 0.990 0.990 Be
0.008 0.288 0.707 Be
0.990 0.510 0.990 Be
0.707 0.288 0.008 Be
0.655 0.655 0.655 Tb
0.328 0.328 0.328 Pd
```